[1]
# Ce4SnBi

An optimized crystal structure of Ce4SnBi (GGA-PBE, the Alexandria database).

Results
- mass density (g/cm3) = 9.30
- symmetry = No. 12
- energy of formation from the pure elements (kcal/mol of atoms) = -6.8
- total magnetic moment (Bohr magnetons per cell) = 1.5

Cell: 6.277 6.277 5.180 Å, 114.23 114.23 97.32°
Positions (direct):
Ce 0.071 0.424 0.223
Ce 0.424 0.071 0.223
Ce 0.576 0.929 0.777
Ce 0.929 0.576 0.777
Sn 0.000 0.000 0.500
Bi 0.500 0.500 0.000



[2]
# NiTeAs2

An optimized crystal structure of NiTeAs2 (GGA-PBE, the Alexandria database).

Results
- mass density (g/cm3) = 7.07
- symmetry = No. 65
- uncorrected formation energy (eV/atom) = 0.49
- total magnetic moment (Bohr magnetons per cell) = 0.0

Cell: 4.782 4.782 3.667 Å, 90.00 90.00 109.70°
Positions (direct):
Ni 0.000 0.000 0.000
Te 0.500 0.500 0.000
As 0.000 0.500 0.500
As 0.500 0.000 0.500



[3]
# LaErSi2Pd5

An optimized crystal structure of LaErSi2Pd5 (GGA-PBE, the Alexandria database).

Results
- mass density (g/cm3) = 9.17
- symmetry = No. 123
- uncorrected formation energy (eV/atom) = -0.88
- total magnetic moment (Bohr magnetons per cell) = 0.0

Cell: 4.235 4.235 9.029 Å, 90.00 90.00 90.00°
Positions (direct):
La 0.000 0.000 0.000
Er 0.000 0.000 0.500
Si 0.500 0.500 0.371
Si 0.500 0.500 0.629
Pd 0.000 0.500 0.240
Pd 0.000 0.500 0.760
Pd 0.500 0.000 0.240
Pd 0.500 0.000 0.760
Pd 0.500 0.500 0.000



Q: The lowest mass density belongs to which entry?
A: NiTeAs2



Q: Which value of mass density does entry 3 give?
A: 9.17 g/cm3



Q: What is the formula in the second record?
A: NiTeAs2



Q: What is the mass density in the second record?
A: 7.07 g/cm3